No. 1
SiSbMo | SCAN | single point on PBEsol structure

Results
Volume ... 16.7 Å³ per atom
ΔE_f (raw) ... 0.10 eV per atom
M_tot ... 0.0 μB/f.u.
DOS at the Fermi energy ... 0.424 states/eV/atom

Cell lengths 5.073, 5.073, 5.073 Å; angles 141.52, 141.52, 55.55 degrees
Atoms (fractional coordinates):
Si  0.000  0.000  0.000
Sb  0.309  0.309  0.000
Mo  0.622  0.622  0.000



No. 2
SiSbMo | SCAN | single point on PBEsol structure

Results
Volume ... 17.9 Å³ per atom
ΔE_f (raw) ... 0.43 eV per atom
M_tot ... 0.0 μB/f.u.
DOS at the Fermi energy ... 0.827 states/eV/atom

Cell lengths 4.265, 4.265, 3.411 Å; angles 90.00, 90.00, 120.00 degrees
Atoms (fractional coordinates):
Si  0.000  0.000  0.000
Sb  0.667  0.333  0.500
Mo  0.333  0.667  0.000



No. 3
SiSbMo | SCAN | single point on PBEsol structure

Results
Volume ... 18.8 Å³ per atom
ΔE_f (raw) ... 0.73 eV per atom
M_tot ... 0.0 μB/f.u.
DOS at the Fermi energy ... 0.837 states/eV/atom

Cell lengths 4.308, 4.308, 4.308 Å; angles 60.00, 60.00, 60.00 degrees
Atoms (fractional coordinates):
Si  0.000  0.000  0.000
Sb  0.250  0.250  0.250
Mo  0.750  0.750  0.750



No. 4
SiSbMo2 | SCAN | single point on PBEsol structure

Results
Volume ... 16.3 Å³ per atom
ΔE_f (raw) ... 0.20 eV per atom
M_tot ... 0.0 μB/f.u.
DOS at the Fermi energy ... 0.869 states/eV/atom

Cell lengths 3.160, 3.481, 5.978 Å; angles 90.00, 98.52, 90.00 degrees
Atoms (fractional coordinates):
Si  0.000  0.000  0.000
Sb  0.000  0.000  0.500
Mo  0.380  0.500  0.227
Mo  0.620  0.500  0.773